No. 1
RbZn3Au3 | the Alexandria database | PBE-GGA | optimized geometry; calculated total energy = -2.225 eV/atom; total magnetization = 0.0 μB/f.u.; crystal system = trigonal; offset from the most stable computed form = 0.000 eV per atom; formation enthalpy at 0 K = -0.137 eV/atom
1.0
3.539 2.043 8.153
-3.539 2.043 8.153
0.000 -4.087 8.153
Rb Zn Au
2 6 6
Direct
0.166 0.166 0.166
0.834 0.834 0.834
0.047 0.623 0.209
0.209 0.047 0.623
0.377 0.791 0.953
0.623 0.209 0.047
0.791 0.953 0.377
0.953 0.377 0.791
0.168 0.632 0.400
0.368 0.600 0.832
0.400 0.168 0.632
0.600 0.832 0.368
0.632 0.400 0.168
0.832 0.368 0.600



No. 2
Rb3Zn6Au5 | the Alexandria database | PBE-GGA | optimized geometry; calculated total energy = -2.110 eV/atom; total magnetization = 0.0 μB/f.u.; crystal system = orthorhombic; formation enthalpy at 0 K = -0.186 eV/atom
1.0
4.522 0.000 0.000
0.000 13.755 0.000
0.000 0.000 12.543
Rb Zn Au
6 12 10
Direct
0.250 0.086 0.247
0.250 0.414 0.247
0.250 0.750 0.251
0.750 0.250 0.749
0.750 0.586 0.753
0.750 0.914 0.753
0.250 0.048 0.520
0.250 0.250 0.494
0.250 0.250 0.995
0.250 0.452 0.520
0.250 0.582 0.002
0.250 0.918 0.002
0.750 0.082 0.998
0.750 0.418 0.998
0.750 0.548 0.480
0.750 0.750 0.005
0.750 0.750 0.506
0.750 0.952 0.480
0.250 0.083 0.897
0.250 0.417 0.897
0.250 0.645 0.510
0.250 0.750 0.906
0.250 0.855 0.510
0.750 0.145 0.490
0.750 0.250 0.094
0.750 0.355 0.490
0.750 0.583 0.103
0.750 0.917 0.103



No. 3
RbZn2Au2 | the Alexandria database | PBE-GGA | optimized geometry; calculated total energy = -2.218 eV/atom; total magnetization = 0.0 μB/f.u.; crystal system = orthorhombic; offset from the most stable computed form = 0.000 eV per atom; formation enthalpy at 0 K = -0.204 eV/atom
1.0
0.000 5.942 6.533
3.419 0.000 6.533
3.419 5.942 0.000
Rb Zn Au
2 4 4
Direct
0.125 0.125 0.125
0.875 0.875 0.875
0.259 0.259 0.491
0.491 0.491 0.259
0.509 0.509 0.741
0.741 0.741 0.509
0.195 0.555 0.195
0.445 0.805 0.445
0.555 0.195 0.555
0.805 0.445 0.805



No. 4
Rb8ZnAu2 | the Alexandria database | PBE-GGA | optimized geometry; calculated total energy = -1.491 eV/atom; total magnetization = 0.0 μB/f.u.; crystal system = monoclinic; formation enthalpy at 0 K = -0.076 eV/atom
1.0
7.736 -6.966 0.000
7.736 6.966 0.000
-0.699 0.000 6.939
Rb Zn Au
8 1 2
Direct
0.118 0.118 0.251
0.141 0.615 0.281
0.343 0.343 0.831
0.385 0.859 0.719
0.615 0.141 0.281
0.657 0.657 0.169
0.859 0.385 0.719
0.882 0.882 0.749
0.500 0.500 0.500
0.342 0.342 0.331
0.658 0.658 0.669



No. 5
Rb2Zn2Au | the Alexandria database | PBE-GGA | optimized geometry; calculated total energy = -1.619 eV/atom; total magnetization = 0.0 μB/f.u.; crystal system = orthorhombic; offset from the most stable computed form = 0.000 eV per atom; formation enthalpy at 0 K = -0.067 eV/atom
1.0
5.449 -4.014 0.000
5.449 4.014 0.000
0.000 0.000 7.835
Rb Zn Au
4 4 2
Direct
0.191 0.191 0.000
0.191 0.191 0.500
0.809 0.809 0.000
0.809 0.809 0.500
0.359 0.641 0.586
0.359 0.641 0.914
0.641 0.359 0.086
0.641 0.359 0.414
0.348 0.652 0.250
0.652 0.348 0.750



No. 6
Rb2Zn3Au5 | the Alexandria database | PBE-GGA | optimized geometry; calculated total energy = -2.412 eV/atom; total magnetization = 0.0 μB/f.u.; crystal system = orthorhombic; formation enthalpy at 0 K = -0.198 eV/atom
1.0
-5.267 6.711 3.393
5.267 -6.711 3.393
5.267 6.711 -3.393
Rb Zn Au
4 6 10
Direct
0.130 0.244 0.375
0.370 0.744 0.114
0.630 0.256 0.886
0.870 0.756 0.625
0.118 0.628 0.745
0.250 0.250 0.000
0.382 0.128 0.510
0.618 0.872 0.490
0.750 0.750 0.000
0.882 0.372 0.255
0.016 0.750 0.266
0.120 0.877 0.997
0.250 0.750 0.500
0.380 0.377 0.758
0.484 0.750 0.734
0.516 0.250 0.266
0.620 0.623 0.242
0.750 0.250 0.500
0.880 0.123 0.003
0.984 0.250 0.734



- Look up the formation enthalpy at 0 K of the first one.
  -0.137 eV/atom